Run one
Below is a geometry-optimized AgIr2Ru2 structure, with properties calculated at the PBE level.

Results
* V: 15.74 A^3/atom
* total magnetization: 0.000 μB/cell
* N(E_F): 1.2867 states/eV per atom

Geometry as POSCAR:
```
AgIr2Ru2
1.0
7.578 0.000 0.000
0.000 7.578 0.000
0.000 0.000 2.742
Ag Ir Ru
2 4 4
Direct
0.000 0.000 0.000
0.500 0.500 0.000
0.122 0.378 0.000
0.378 0.878 0.000
0.622 0.122 0.000
0.878 0.622 0.000
0.172 0.672 0.500
0.328 0.172 0.500
0.672 0.828 0.500
0.828 0.328 0.500
```

Run two
Below is a geometry-optimized AgIr2Ru2 structure, with properties calculated at the PBE level.

Results
* V: 15.72 A^3/atom
* total magnetization: 0.000 μB/cell
* N(E_F): 1.0652 states/eV per atom

Geometry as POSCAR:
```
AgIr2Ru2
1.0
7.581 0.000 0.000
0.000 7.581 0.000
0.000 0.000 2.735
Ag Ir Ru
2 4 4
Direct
0.000 0.000 0.000
0.500 0.500 0.000
0.172 0.328 0.500
0.328 0.828 0.500
0.672 0.172 0.500
0.828 0.672 0.500
0.121 0.621 0.000
0.379 0.121 0.000
0.621 0.879 0.000
0.879 0.379 0.000
```

run one ends up most stable, edging out the next structure by 0.7 kJ/mol of atoms.

Run one
Below is a geometry-optimized Ag2IrRu2 structure, with properties calculated at the PBE level.

Results
* V: 17.47 A^3/atom
* total magnetization: 0.000 μB/cell
* N(E_F): 1.2409 states/eV per atom

Geometry as POSCAR:
```
Ag2IrRu2
1.0
6.308 0.000 0.000
0.000 6.308 0.000
0.000 0.000 4.392
Ag Ir Ru
4 2 4
Direct
0.173 0.327 0.000
0.327 0.827 0.000
0.673 0.173 0.000
0.827 0.673 0.000
0.000 0.000 0.500
0.500 0.500 0.500
0.129 0.629 0.500
0.371 0.129 0.500
0.629 0.871 0.500
0.871 0.371 0.500
```

Run two
Below is a geometry-optimized Ag2IrRu2 structure, with properties calculated at the PBE level.

Results
* V: 17.27 A^3/atom
* total magnetization: 2.274 μB/cell
* N(E_F): 1.1607 states/eV per atom

Geometry as POSCAR:
```
Ag2IrRu2
1.0
-1.777 1.777 6.841
1.777 -1.777 6.841
1.777 1.777 -6.841
Ag Ir Ru
2 1 2
Direct
0.250 0.750 0.500
0.750 0.250 0.500
0.000 0.000 0.000
0.412 0.412 0.000
0.588 0.588 0.000
```

run one ends up most stable, edging out the next structure by 24.3 kJ/mol of atoms.

Run one
Below is a geometry-optimized AgIr3S structure, with properties calculated at the PBE level.

Results
* V: 17.07 A^3/atom
* total magnetization: 0.000 μB/cell
* N(E_F): 1.0458 states/eV per atom

Geometry as POSCAR:
```
AgIr3S
1.0
4.403 0.000 0.000
0.000 4.403 0.000
0.000 0.000 4.403
Ag Ir S
1 3 1
Direct
0.000 0.000 0.000
0.000 0.500 0.500
0.500 0.000 0.500
0.500 0.500 0.000
0.500 0.500 0.500
```

Run two
Below is a geometry-optimized AgIr3S structure, with properties calculated at the PBE level.

Results
* V: 22.71 A^3/atom
* total magnetization: 4.550 μB/cell
* N(E_F): 1.4412 states/eV per atom

Geometry as POSCAR:
```
AgIr3S
1.0
4.842 0.000 0.000
0.000 4.842 0.000
0.000 0.000 4.842
Ag Ir S
1 3 1
Direct
0.000 0.000 0.000
0.000 0.000 0.500
0.000 0.500 0.000
0.500 0.000 0.000
0.500 0.500 0.500
```

run one ends up most stable, edging out the next structure by 189.7 kJ/mol of atoms.

Run one
Below is a geometry-optimized AgSb2Ir structure, with properties calculated at the PBE level.

Results
* V: 20.54 A^3/atom
* total magnetization: 0.000 μB/cell
* N(E_F): 0.8489 states/eV per atom

Geometry as POSCAR:
```
AgSb2Ir
1.0
0.000 3.450 3.450
3.450 0.000 3.450
3.450 3.450 0.000
Ag Sb Ir
1 2 1
Direct
0.000 0.000 0.000
0.500 0.500 0.500
0.750 0.750 0.750
0.250 0.250 0.250
```

Run two
Below is a geometry-optimized AgSb2Ir structure, with properties calculated at the PBE level.

Results
* V: 23.49 A^3/atom
* total magnetization: 0.000 μB/cell
* N(E_F): 0.4847 states/eV per atom

Geometry as POSCAR:
```
AgSb2Ir
1.0
4.469 -1.788 0.000
4.469 1.788 0.000
-2.283 0.000 5.880
Ag Sb Ir
1 2 1
Direct
0.000 0.000 0.000
0.238 0.238 0.845
0.506 0.506 0.384
0.765 0.765 0.196
```

Run three
Below is a geometry-optimized AgSb2Ir structure, with properties calculated at the PBE level.

Results
* V: 20.29 A^3/atom
* total magnetization: 0.000 μB/cell
* N(E_F): 0.5740 states/eV per atom

Geometry as POSCAR:
```
AgSb2Ir
1.0
4.700 0.000 0.000
0.000 4.700 0.000
0.000 0.000 3.673
Ag Sb Ir
1 2 1
Direct
0.000 0.000 0.000
0.000 0.500 0.500
0.500 0.000 0.500
0.500 0.500 0.000
```

run two ends up most stable, edging out the next structure by 10.4 kJ/mol of atoms.

Run one
Below is a geometry-optimized AgSb2Ir structure, with properties calculated at the PBE level.

Results
* V: 23.35 A^3/atom
* total magnetization: 0.000 μB/cell
* N(E_F): 0.4602 states/eV per atom

Geometry as POSCAR:
```
AgSb2Ir
1.0
1.964 1.134 6.991
-1.964 1.134 6.991
0.000 -2.267 6.991
Ag Sb Ir
1 2 1
Direct
0.000 0.000 0.000
0.260 0.260 0.260
0.469 0.469 0.469
0.742 0.742 0.742
```

Run two
Below is a geometry-optimized AgSb2Ir structure, with properties calculated at the PBE level.

Results
* V: 20.13 A^3/atom
* total magnetization: 0.000 μB/cell
* N(E_F): 0.3733 states/eV per atom

Geometry as POSCAR:
```
AgSb2Ir
1.0
0.000 3.427 3.427
3.427 0.000 3.427
3.427 3.427 0.000
Ag Sb Ir
1 2 1
Direct
0.000 0.000 0.000
0.250 0.250 0.250
0.750 0.750 0.750
0.500 0.500 0.500
```

Run three
Below is a geometry-optimized AgSb2Ir structure, with properties calculated at the PBE level.

Results
* V: 20.87 A^3/atom
* total magnetization: 0.000 μB/cell
* N(E_F): 0.4936 states/eV per atom

Geometry as POSCAR:
```
AgSb2Ir
1.0
3.253 0.000 0.000
0.000 3.238 0.000
-0.170 0.000 7.924
Ag Sb Ir
1 2 1
Direct
0.000 0.000 0.000
0.489 0.500 0.283
0.511 0.500 0.717
0.000 0.000 0.500
```

run three ends up most stable, edging out the next structure by 7.4 kJ/mol of atoms.

Run one
Below is a geometry-optimized AgSb2Ir structure, with properties calculated at the PBE level.

Results
* V: 20.25 A^3/atom
* total magnetization: 0.000 μB/cell
* N(E_F): 0.6281 states/eV per atom

Geometry as POSCAR:
```
AgSb2Ir
1.0
3.363 0.000 0.000
0.003 4.879 0.000
0.015 0.708 4.938
Ag Sb Ir
1 2 1
Direct
0.000 0.000 0.000
0.500 0.000 0.500
0.500 0.500 0.000
0.000 0.500 0.500
```

Run two
Below is a geometry-optimized AgSb2Ir structure, with properties calculated at the PBE level.

Results
* V: 25.13 A^3/atom
* total magnetization: 0.000 μB/cell
* N(E_F): 0.5073 states/eV per atom

Geometry as POSCAR:
```
AgSb2Ir
1.0
3.756 0.000 0.000
0.000 4.534 0.000
-0.034 0.000 5.902
Ag Sb Ir
1 2 1
Direct
0.000 0.000 0.000
0.001 0.000 0.523
0.500 0.500 0.009
0.003 0.500 0.312
```

run two ends up most stable, edging out the next structure by 13.0 kJ/mol of atoms.

Run one
Below is a geometry-optimized Ag2SbIr2 structure, with properties calculated at the PBE level.

Results
* V: 18.97 A^3/atom
* total magnetization: 0.000 μB/cell
* N(E_F): 0.5431 states/eV per atom

Geometry as POSCAR:
```
Ag2SbIr2
1.0
6.550 0.000 0.000
0.000 6.550 0.000
0.000 0.000 4.422
Ag Sb Ir
4 2 4
Direct
0.162 0.338 0.000
0.338 0.838 0.000
0.662 0.162 0.000
0.838 0.662 0.000
0.000 0.000 0.500
0.500 0.500 0.500
0.136 0.636 0.500
0.364 0.136 0.500
0.636 0.864 0.500
0.864 0.364 0.500
```

Run two
Below is a geometry-optimized Ag2SbIr2 structure, with properties calculated at the PBE level.

Results
* V: 18.87 A^3/atom
* total magnetization: 0.000 μB/cell
* N(E_F): 1.6780 states/eV per atom

Geometry as POSCAR:
```
Ag2SbIr2
1.0
-1.870 1.870 6.749
1.870 -1.870 6.749
1.870 1.870 -6.749
Ag Sb Ir
2 1 2
Direct
0.250 0.750 0.500
0.750 0.250 0.500
0.000 0.000 0.000
0.405 0.405 0.000
0.595 0.595 0.000
```

run one ends up most stable, edging out the next structure by 32.2 kJ/mol of atoms.

Run one
Below is a geometry-optimized AgSbTe2Ir structure, with properties calculated at the PBE level.

Results
* V: 28.81 A^3/atom
* total magnetization: 0.000 μB/cell
* N(E_F): 0.9686 states/eV per atom

Geometry as POSCAR:
```
AgSbTe2Ir
1.0
5.282 0.000 0.000
0.000 5.282 0.000
0.000 0.000 5.163
Ag Sb Te Ir
1 1 2 1
Direct
0.000 0.000 0.000
0.000 0.000 0.500
0.000 0.500 0.000
0.500 0.000 0.000
0.500 0.500 0.500
```

Run two
Below is a geometry-optimized AgSbTe2Ir structure, with properties calculated at the PBE level.

Results
* V: 29.56 A^3/atom
* total magnetization: 0.000 μB/cell
* N(E_F): 1.1019 states/eV per atom

Geometry as POSCAR:
```
AgSbTe2Ir
1.0
5.468 0.000 0.000
0.000 5.468 0.000
0.000 0.000 4.943
Ag Sb Te Ir
1 1 2 1
Direct
0.000 0.000 0.000
0.500 0.500 0.000
0.000 0.500 0.500
0.500 0.000 0.500
0.500 0.500 0.500
```

run two ends up most stable, edging out the next structure by 79.6 kJ/mol of atoms.